(1)
Compound: NaWI3
Source: Alexandria via LeMat-Bulk
Functional: PBEsol
Structure: optimized geometry

- symmetry = Pm-3m (221)
- uncorrected formation energy (eV/atom) = 1.192

a b c (Å): 5.5523 5.5523 5.5523
angles (deg): 90.00 90.00 90.00
With the nearest neighbours (Å) after each atom.
Fractional coordinates of all 5 atoms:
I: 0.0000 0.0000 0.5000  2 Na 2.78
W: 0.5000 0.5000 0.5000  12 I 3.93
I: 0.5000 0.0000 0.0000  2 Na 2.78
Na: 0.0000 0.0000 0.0000  6 I 2.78
I: 0.0000 0.5000 0.0000  2 Na 2.78

***

(2)
Compound: Na2ZrI
Source: Alexandria via LeMat-Bulk
Functional: PBEsol
Structure: optimized geometry

- symmetry = Fm-3m (225)
- uncorrected formation energy (eV/atom) = 0.649

a b c (Å): 5.5654 5.5654 5.5654
angles (deg): 60.00 60.00 60.00
With the nearest neighbours (Å) after each atom.
Fractional coordinates of all 4 atoms:
I: 0.5000 0.5000 0.5000  8 Na 3.41
Na: 0.7500 0.7500 0.7500  4 Zr 3.41, 4 I 3.41
Na: 0.2500 0.2500 0.2500  4 Zr 3.41, 4 I 3.41
Zr: 0.0000 0.0000 0.0000  8 Na 3.41

***

(3)
Compound: NaZr3I
Source: Alexandria via LeMat-Bulk
Functional: PBEsol
Structure: optimized geometry

- symmetry = Pm-3m (221)
- uncorrected formation energy (eV/atom) = 1.425

a b c (Å): 5.0027 5.0027 5.0027
angles (deg): 90.00 90.00 90.00
With the nearest neighbours (Å) after each atom.
Fractional coordinates of all 5 atoms:
Zr: 0.0000 0.5000 0.0000  2 Na 2.50
I: 0.5000 0.5000 0.5000  12 Zr 3.54
Na: 0.0000 0.0000 0.0000  6 Zr 2.50
Zr: 0.5000 0.0000 0.0000  2 Na 2.50
Zr: 0.0000 0.0000 0.5000  2 Na 2.50